In2P2Se (PBE-GGA, relaxed); N(E_F) = 1.54 states/eV per cell; uncorrected formation energy = 0.08 eV/atom; electronic total energy = -19.40 eV/cell; spin magnetization = 0.000 μB/f.u.
1.0
3.5903 0.0000 0.0000
0.0000 3.5903 0.0000
1.7952 1.7952 8.3462
P Se In
2 1 2
direct
0.7500 0.2500 0.5000
0.2500 0.7500 0.5000
0.0000 0.0000 0.0000
0.3968 0.3968 0.2063
0.6032 0.6032 0.7937